LaTmSi | Alexandria via LeMat-Bulk | PBE | optimized geometry; magnetic moment = 0.00 μB per cell; energy above the most stable polymorph in this dataset = 75.4 meV per atom; space group = P3m1, No. 156
1.0
4.7345 0.0000 0.0000
-2.3672 4.1002 0.0000
0.0000 0.0000 4.3195
La Tm Si
1 1 1
direct
0.0000 0.0000 0.0000 La
0.6667 0.3333 0.5205 Tm
0.3333 0.6667 0.4170 Si